The following is a DFT calculation (GGA-PBE) of crystalline TmTh2Pb at its relaxed geometry.

Cell: 6.861 5.237 6.980 Å, 90.00 103.21 90.00°
Element x y z (fractional)
Tm: 0.206 0.250 0.377
Tm: 0.794 0.750 0.623
Th: 0.104 0.250 0.866
Th: 0.411 0.750 0.131
Th: 0.589 0.250 0.869
Th: 0.896 0.750 0.134
Pb: 0.293 0.750 0.624
Pb: 0.707 0.250 0.376

Output
- Energy relative to the lowest polymorph listed for this composition: 0.028 eV per atom
- V: 244.2 Å³/cell
- Formation energy from the elements: -0.167 eV per atom
- Final energy: -5.922 eV per atom
- Crystal system: monoclinic



The following is a DFT calculation (GGA-PBE) of crystalline Sr2CuMoRu at its relaxed geometry.

Cell: 5.649 5.649 4.738 Å, 90.00 90.00 90.00°
Element x y z (fractional)
Sr: 0.000 0.500 0.000
Sr: 0.500 0.000 0.000
Cu: 0.000 0.000 0.500
Mo: 0.500 0.500 0.500
Ru: 0.000 0.000 0.000

Output
- V: 151.2 Å³/cell
- Formation energy from the elements: 1.250 eV per atom
- Final energy: -4.264 eV per atom
- Crystal system: tetragonal



The following is a DFT calculation (GGA-PBE) of crystalline SiNi2Se at its relaxed geometry.

Cell: 4.300 4.300 2.869 Å, 90.14 90.14 97.01°
Element x y z (fractional)
Si: 0.000 0.000 0.000
Ni: 0.000 0.500 0.500
Ni: 0.500 0.000 0.500
Se: 0.500 0.500 0.000

Output
- Energy relative to the lowest polymorph listed for this composition: 0.365 eV per atom
- V: 52.7 Å³/cell
- Final energy: -5.054 eV per atom
- Crystal system: monoclinic
- Raw formation energy: 24 kJ/mol of formula units



The following is a DFT calculation (GGA-PBE) of crystalline VBiPtPb2 at its relaxed geometry.

Cell: 5.439 5.439 4.950 Å, 90.00 90.00 90.00°
Element x y z (fractional)
V: 0.000 0.000 0.000
Bi: 0.500 0.500 0.000
Pt: 0.000 0.000 0.500
Pb: 0.000 0.500 0.500
Pb: 0.500 0.000 0.500

Output
- V: 146.4 Å³/cell
- Formation energy from the elements: 0.410 eV per atom
- Final energy: -4.881 eV per atom
- Crystal system: tetragonal



The following is a DFT calculation (GGA-PBE) of crystalline Pa2SbN at its relaxed geometry.

Cell: 3.183 3.183 7.710 Å, 90.00 90.00 90.00°
Element x y z (fractional)
Pa: 0.000 0.000 0.191
Pa: 0.000 0.000 0.809
Sb: 0.500 0.500 0.500
N: 0.500 0.500 0.000

Output
- Energy relative to the lowest polymorph listed for this composition: 0.586 eV per atom
- V: 78.1 Å³/cell
- Final energy: -8.157 eV per atom
- Crystal system: tetragonal
- Raw formation energy: -115 kJ/mol of formula units



The following is a DFT calculation (GGA-PBE) of crystalline Tb5Pm4Th at its relaxed geometry.

Cell: 8.051 8.051 8.051 Å, 98.61 98.61 134.47°
Element x y z (fractional)
Tb: 0.000 0.000 0.000
Tb: 0.069 0.069 0.625
Tb: 0.069 0.444 0.000
Tb: 0.444 0.069 0.000
Tb: 0.444 0.444 0.375
Pm: 0.068 0.749 0.319
Pm: 0.429 0.749 0.681
Pm: 0.749 0.068 0.319
Pm: 0.749 0.429 0.681
Th: 0.532 0.532 0.000

Output
- Energy relative to the lowest polymorph listed for this composition: 0.251 eV per atom
- V: 343.4 Å³/cell
- Formation energy from the elements: 0.272 eV per atom
- Final energy: -4.686 eV per atom
- Crystal system: tetragonal